[1]
Entry from the Alexandria database: crystalline Pr2InHgN at its relaxed geometry (PBE). Values from VASP.

The raw total energy comes out at -4.792 eV/atom. As for the raw formation energy: -14.0 kcal/mol of atoms.

The structure in Quantum ESPRESSO input format:
```
&SYSTEM
  ibrav = 0, nat = 10, ntyp = 4
/
ATOMIC_SPECIES
Pr 140.91 Pr.upf
Hg 200.59 Hg.upf
N 14.01 N.upf
In 114.82 In.upf
ATOMIC_POSITIONS crystal
Pr 0.5000 0.0000 0.9166
Pr 0.5000 0.0000 0.2588
Pr 0.0000 0.5000 0.7412
Pr 0.0000 0.5000 0.0834
Hg 0.5000 0.0000 0.6624
Hg 0.0000 0.5000 0.3376
N 0.0000 0.5000 0.9125
N 0.5000 0.0000 0.0875
In 0.5000 0.5000 0.5000
In 0.0000 0.0000 0.5000
CELL_PARAMETERS angstrom
4.2057 0.0000 0.0000
0.0000 4.2057 0.0000
0.0000 0.0000 13.7167
```


[2]
Entry from the Alexandria database: crystalline In2HgRuN at its relaxed geometry (PBE). Values from VASP.

The raw total energy comes out at -2.640 eV/atom. As for the raw formation energy: 47.0 kcal/mol of atoms.

The structure in Quantum ESPRESSO input format:
```
&SYSTEM
  ibrav = 0, nat = 5, ntyp = 4
/
ATOMIC_SPECIES
In 114.82 In.upf
Ru 101.07 Ru.upf
Hg 200.59 Hg.upf
N 14.01 N.upf
ATOMIC_POSITIONS crystal
In 0.5000 0.0000 0.0000
In 0.0000 0.0000 0.5000
Ru 0.0000 0.5000 0.0000
Hg 0.0000 0.0000 0.0000
N 0.5000 0.5000 0.5000
CELL_PARAMETERS angstrom
5.3830 0.0000 0.0000
0.0000 5.3269 0.0000
0.0000 0.0000 5.3830
```


> What is the raw formation energy in the second record?

47.0 kcal/mol of atoms


Please write out number 1 again, unchanged.
Entry from the Alexandria database: crystalline Pr2InHgN at its relaxed geometry (PBE). Values from VASP.

The raw total energy comes out at -4.792 eV/atom. As for the raw formation energy: -14.0 kcal/mol of atoms.

The structure in Quantum ESPRESSO input format:
```
&SYSTEM
  ibrav = 0, nat = 10, ntyp = 4
/
ATOMIC_SPECIES
Pr 140.91 Pr.upf
Hg 200.59 Hg.upf
N 14.01 N.upf
In 114.82 In.upf
ATOMIC_POSITIONS crystal
Pr 0.5000 0.0000 0.9166
Pr 0.5000 0.0000 0.2588
Pr 0.0000 0.5000 0.7412
Pr 0.0000 0.5000 0.0834
Hg 0.5000 0.0000 0.6624
Hg 0.0000 0.5000 0.3376
N 0.0000 0.5000 0.9125
N 0.5000 0.0000 0.0875
In 0.5000 0.5000 0.5000
In 0.0000 0.0000 0.5000
CELL_PARAMETERS angstrom
4.2057 0.0000 0.0000
0.0000 4.2057 0.0000
0.0000 0.0000 13.7167
```